Rb3Li2MgF6 | Alexandria | PBE | relaxed; uncorrected energy = -52.28 eV/f.u.; space group = P-3m1, No. 164; formation energy from raw total energies = -2.73 eV per atom; DOS at the Fermi energy = 1.146 states/eV per cell
1.0
5.926 0.000 0.000
-2.963 5.132 0.000
0.000 0.000 7.611
F Rb Li Mg
6 3 2 1
Direct
0.161 0.322 0.342
0.678 0.839 0.342
0.322 0.161 0.658
0.161 0.839 0.342
0.839 0.161 0.658
0.839 0.678 0.658
0.667 0.333 0.333
0.000 0.000 0.000
0.333 0.667 0.667
0.667 0.333 0.731
0.333 0.667 0.269
0.000 0.000 0.500

Rb2Li2MgF6 | Alexandria | PBE | relaxed; uncorrected energy = -51.56 eV/f.u.; space group = C2/m, No. 12; formation energy from raw total energies = -3.00 eV per atom; DOS at the Fermi energy = 0.000 states/eV per cell
1.0
-2.053 5.390 -1.271
-3.707 -4.207 1.872
3.677 2.468 4.527
Rb Li Mg F
2 2 1 6
Direct
0.283 0.567 0.836
0.717 0.433 0.164
0.915 0.829 0.728
0.085 0.171 0.272
0.500 0.000 0.500
0.253 0.985 0.264
0.274 0.548 0.325
0.732 0.985 0.264
0.268 0.015 0.736
0.726 0.452 0.675
0.747 0.015 0.736